1.
Below is crystalline TbTm2Tl3Se6 at its relaxed geometry, with properties calculated at the GGA-PBE level.

Cell: 7.203 7.203 8.140 Å, 98.48 98.48 120.00°
Fractional coordinates of all 12 atoms:
Tl: 0.500 0.500 0.500
Tl: 0.166 0.834 0.500
Tl: 0.834 0.166 0.500
Tm: 0.667 0.333 0.000
Tm: 0.333 0.667 0.000
Se: 0.730 0.730 0.202
Se: 0.595 0.932 0.797
Se: 0.270 0.270 0.798
Se: 0.068 0.405 0.203
Se: 0.932 0.595 0.797
Se: 0.405 0.068 0.203
Tb: 0.000 0.000 0.000

SG = C2/m, No. 12
Magnetic moment = 0.00 μB per cell
Calculated volume = 349.4 Å³ per cell
Energy relative to the elements, uncorrected = -133.1 kJ per mole of atoms
Theoretical density = 7.526 g cm⁻³

=====

2.
Below is crystalline TbUTl2Se4 at its relaxed geometry, with properties calculated at the GGA-PBE level.

Cell: 4.196 7.267 8.187 Å, 107.17 90.00 90.00°
Last column: magnetic moment on the atom in μB.
Fractional coordinates of all 8 atoms:
Se: 0.000 0.735 0.206  -0.04
Se: 0.000 0.265 0.794  -0.04
Se: 0.500 0.234 0.205  -0.02
Se: 0.500 0.766 0.795  -0.02
Tl: 0.500 0.000 0.500  0.00
Tl: 0.000 0.500 0.500  0.01
U: 0.500 0.500 0.000  2.64
Tb: 0.000 0.000 0.000  0.09

SG = P2/m, No. 10
Magnetic moment = 3.00 μB per cell
Calculated volume = 238.5 Å³ per cell
Energy relative to the elements, uncorrected = -107.9 kJ per mole of atoms
Theoretical density = 7.809 g cm⁻³